(1)
DFT (PBE-GGA) results for an optimized crystal structure of Li2Pr2Cl7.

Lattice parameters (Å, degrees): 7.1538 7.1538 7.8762 90.01 90.01 113.79
Last column: nearest neighbours and their distance in Å.
Sites, in units of the cell vectors:
Li 0.2198 0.2198 0.0007  1 Cl 2.19
Li 0.7802 0.7802 0.9993  1 Cl 2.19
Pr 0.1627 0.8373 0.5000  6 Cl 2.80-2.93
Pr 0.8373 0.1627 0.5000  6 Cl 2.80-2.93
Cl 0.0006 0.0006 0.7773  2 Li 2.45-2.46
Cl 0.0010 0.4999 0.2833  2 Pr 2.80
Cl 0.4999 0.0010 0.2833  2 Pr 2.80
Cl 0.5000 0.5000 0.0000  2 Li 2.19
Cl 0.5001 0.9990 0.7167  2 Pr 2.80
Cl 0.9990 0.5001 0.7167  2 Pr 2.80
Cl 0.9994 0.9994 0.2227  2 Li 2.45-2.46

- Crystal system: monoclinic
- E_form (uncorrected): -1.910 eV per atom
- Spin magnetization: 0.0911 μB/atom
- Final energy: -4.30 eV per atom



(2)
DFT (PBE-GGA) results for an optimized crystal structure of Ho2TiGe3.

Lattice parameters (Å, degrees): 6.2554 6.2554 6.2554 137.51 126.55 70.55
Last column: nearest neighbours and their distance in Å.
Sites, in units of the cell vectors:
Ho 0.1794 0.1794 0.0000  6 Ge 2.85-2.97
Ho 0.8206 0.8206 0.0000  6 Ge 2.85-2.97
Ti 0.5000 0.5000 0.0000  6 Ge 2.64-2.81
Ge 0.0000 0.5000 0.5000  2 Ti 2.81, 4 Ho 2.91
Ge 0.3672 0.8672 0.5000  2 Ti 2.64, 1 Ge 2.71, 2 Ho 2.85
Ge 0.6328 0.1328 0.5000  2 Ti 2.64, 1 Ge 2.71, 2 Ho 2.85

- Calculated formation energy: -581 meV per atom
- Crystal system: orthorhombic
- Spin magnetization: 0.0000 μB/atom
- Final energy: -5.73 eV per atom